Density functional theory data (GGA-PBEsol) for a geometry-optimized RbY2FeH structure.

Calculated values
* E_tot: -4.5807 eV per atom

abc: 4.8530 4.8530 6.7038
angles: 90.00 90.00 90.00
Fractional coordinates of all 5 atoms:
Rb1 0.0000 0.0000 0.0000
Y1 0.0000 0.5000 0.5000
Y2 0.5000 0.0000 0.5000
Fe1 0.0000 0.0000 0.5000
H1 0.5000 0.5000 0.0000